[1]
## Ba2Tl3Cd2 (PBE)

Data for a relaxed structure of Ba2Tl3Cd2.

Calculated values
E above lowest polymorph (meV/atom): 11

Geometry as CIF:
```
data_Ba2Tl3Cd2
_chemical_formula_sum 'Ba4 Tl6 Cd4'
_cell_length_a 12.418
_cell_length_b 5.218
_cell_length_c 7.824
_cell_angle_alpha 90.00
_cell_angle_beta 110.22
_cell_angle_gamma 90.00
_space_group_name_H-M_alt 'C 1 2/m 1'
_space_group_IT_number 12
loop_
_space_group_symop_operation_xyz
'x,y,z'
'-x,-y,-z'
'-x,y,-z'
'x,-y,z'
'x+1/2,y+1/2,z'
'-x+1/2,-y+1/2,-z'
'-x+1/2,y+1/2,-z'
'x+1/2,-y+1/2,z'
loop_
_atom_site_label
_atom_site_fract_x
_atom_site_fract_y
_atom_site_fract_z
_atom_site_occupancy
Ba1 0.149 0.000 0.273 1
Tl1 0.000 0.500 0.500 1
Tl2 0.106 0.500 0.937 1
Cd1 0.150 0.000 0.751 1
```

***

[2]
## BaTlCd (PBE)

Data for a relaxed structure of BaTlCd.

Calculated values
Total energy (eV per atom): -1.670

Geometry as CIF:
```
data_BaTlCd
_chemical_formula_sum 'Ba4 Tl4 Cd4'
_cell_length_a 7.979
_cell_length_b 7.979
_cell_length_c 7.979
_cell_angle_alpha 90.00
_cell_angle_beta 90.00
_cell_angle_gamma 90.00
_space_group_name_H-M_alt 'F -4 3 m'
_space_group_IT_number 216
_space_group_name_Hall 'F -4 2 3'
loop_
_atom_site_label
_atom_site_fract_x
_atom_site_fract_y
_atom_site_fract_z
_atom_site_occupancy
Ba1 0.000 0.000 0.000 1
Tl1 0.250 0.250 0.750 1
Cd1 0.250 0.250 0.250 1
```

***

[3]
## Ba4Tl2Cd (PBE)

Data for a relaxed structure of Ba4Tl2Cd.

Calculated values
Total energy (eV per atom): -2.213

Geometry as CIF:
```
data_Ba4Tl2Cd
_chemical_formula_sum 'Ba12 Tl6 Cd3'
_cell_length_a 6.0369
_cell_length_b 6.0369
_cell_length_c 29.4995
_cell_angle_alpha 90.00
_cell_angle_beta 90.00
_cell_angle_gamma 120.00
_space_group_name_H-M_alt 'R -3 m'
_space_group_IT_number 166
_space_group_name_Hall '-R 3 2"'
loop_
_atom_site_label
_atom_site_fract_x
_atom_site_fract_y
_atom_site_fract_z
_atom_site_occupancy
Ba1 0.0000 0.0000 0.1243 1
Ba2 0.0000 0.0000 0.3747 1
Tl1 0.0000 0.0000 0.2499 1
Cd1 0.0000 0.0000 0.0000 1
```